Density functional theory data (GGA-PBE) for a relaxed TaMnGa2Ru crystal.

The structure in POSCAR format:
```
TaMnGa2Ru
1.0
4.864 0.000 0.000
0.000 4.864 0.000
0.000 0.000 4.597
Ta Mn Ga Ru
1 1 2 1
direct
0.000 0.000 0.000
0.500 0.500 0.500
0.000 0.500 0.000
0.500 0.000 0.000
0.000 0.000 0.500
```

Computed properties:
Formation energy ... 37.2 kcal/mol of atoms
E ... -28.3 eV per cell